The following is a PBE-GGA calculation of a geometry-optimized KZrTc2 structure, from the Alexandria database.

Calculated values
N(E_F)   1.47 states/eV per atom
E above lowest polymorph   650.9 meV/atom

```
KZrTc2
1.0
4.736 0.000 0.000
2.368 4.101 0.000
2.368 1.367 3.867
Tc K Zr
2 1 1
direct
0.250 0.250 0.250
0.000 0.000 0.000
0.500 0.500 0.500
0.750 0.750 0.750
```

The following is a PBE-GGA calculation of a geometry-optimized KZrTc structure, from the Alexandria database.

Calculated values
N(E_F)   0.96 states/eV per atom
E above lowest polymorph   0.0 meV/atom

```
KZrTc
1.0
-0.593 7.478 0.086
-3.941 5.683 -2.907
0.702 -6.726 3.248
Tc Zr K
1 1 1
direct
0.299 0.299 0.000
0.720 0.720 0.000
0.982 0.982 0.000
```

The following is a PBE-GGA calculation of a geometry-optimized KZrTc3 structure, from the Alexandria database.

Calculated values
N(E_F)   1.05 states/eV per atom
E above lowest polymorph   0.0 meV/atom

```
KZrTc3
1.0
4.993 0.000 0.000
0.000 4.993 0.000
0.000 0.000 4.993
Zr Tc K
1 3 1
direct
0.000 0.000 0.000
0.500 0.000 0.000
0.000 0.500 0.000
0.000 0.000 0.500
0.500 0.500 0.500
```

The following is a PBE-GGA calculation of a geometry-optimized KZrTc structure, from the Alexandria database.

Calculated values
N(E_F)   1.32 states/eV per atom
E above lowest polymorph   352.6 meV/atom

```
KZrTc
1.0
2.962 0.000 0.000
-1.481 2.565 0.000
0.000 0.000 8.906
Tc K Zr
1 1 1
direct
0.667 0.333 0.351
0.000 0.000 0.024
0.333 0.667 0.625
```

The following is a PBE-GGA calculation of a geometry-optimized KZrTc structure, from the Alexandria database.

Calculated values
N(E_F)   0.57 states/eV per atom
E above lowest polymorph   842.4 meV/atom

```
KZrTc
1.0
-1.870 -0.576 -4.317
2.719 -1.501 -3.580
-0.596 -4.359 -1.762
K Tc Zr
1 1 1
direct
0.500 0.500 0.500
0.750 0.750 0.750
0.000 0.000 0.000
```

The following is a PBE-GGA calculation of a geometry-optimized KZrTc2 structure, from the Alexandria database.

Calculated values
N(E_F)   0.90 states/eV per atom
E above lowest polymorph   186.9 meV/atom

```
KZrTc2
1.0
-0.110 2.422 1.595
-1.995 -1.950 0.800
6.943 -4.258 6.942
Tc K Zr
2 1 1
direct
0.500 0.500 0.233
0.000 0.000 0.049
0.500 0.500 0.775
0.000 0.000 0.442
```

The following is a PBE-GGA calculation of a geometry-optimized K2ZrTc structure, from the Alexandria database.

Calculated values
N(E_F)   0.81 states/eV per atom
E above lowest polymorph   575.5 meV/atom

```
K2ZrTc
1.0
7.077 -0.004 0.009
-1.498 4.485 -0.013
0.699 0.493 3.215
Tc K Zr
1 2 1
direct
0.500 0.500 0.000
0.000 0.000 0.000
0.000 0.500 0.500
0.500 0.000 0.500
```

The following is a PBE-GGA calculation of a geometry-optimized KZrTc2 structure, from the Alexandria database.

Calculated values
N(E_F)   1.26 states/eV per atom
E above lowest polymorph   857.1 meV/atom

```
KZrTc2
1.0
4.781 0.000 0.000
0.000 4.781 0.000
2.391 2.391 9.373
Zr Tc K
2 4 2
direct
0.750 0.250 0.500
0.000 0.000 0.000
0.815 0.125 0.250
0.875 0.065 0.750
0.935 0.625 0.250
0.375 0.185 0.750
0.250 0.750 0.500
0.500 0.500 0.000
```

The following is a PBE-GGA calculation of a geometry-optimized K2ZrTc structure, from the Alexandria database.

Calculated values
N(E_F)   0.68 states/eV per atom
E above lowest polymorph   724.5 meV/atom

```
K2ZrTc
1.0
-10.532 -1.407 -7.558
-11.561 -3.007 -5.228
-11.923 -0.022 -5.279
Zr K Tc
1 2 1
direct
0.750 0.750 0.750
0.509 0.509 0.509
0.991 0.991 0.991
0.250 0.250 0.250
```

The following is a PBE-GGA calculation of a geometry-optimized K2ZrTc structure, from the Alexandria database.

Calculated values
N(E_F)   0.75 states/eV per atom
E above lowest polymorph   28.2 meV/atom

```
K2ZrTc
1.0
10.993 -0.026 0.171
10.527 3.167 0.171
0.748 0.109 4.153
Zr Tc K
1 1 2
direct
0.250 0.250 0.250
0.750 0.750 0.750
0.401 0.401 0.599
0.099 0.099 0.901
```

The following is a PBE-GGA calculation of a geometry-optimized K2ZrTc structure, from the Alexandria database.

Calculated values
N(E_F)   1.13 states/eV per atom
E above lowest polymorph   715.7 meV/atom

```
K2ZrTc
1.0
2.929 -0.116 0.000
-1.084 2.724 0.000
0.000 0.000 12.853
Zr K Tc
1 2 1
direct
0.500 0.500 0.750
0.000 0.000 0.026
0.000 0.000 0.474
0.500 0.500 0.250
```

The following is a PBE-GGA calculation of a geometry-optimized KZr3Tc structure, from the Alexandria database.

Calculated values
N(E_F)   1.26 states/eV per atom
E above lowest polymorph   0.0 meV/atom

```
KZr3Tc
1.0
5.202 0.000 0.000
0.000 5.202 0.000
0.000 0.000 5.202
Zr K Tc
3 1 1
direct
0.000 0.500 0.000
0.500 0.000 0.000
0.000 0.000 0.500
0.500 0.500 0.500
0.000 0.000 0.000
```

The following is a PBE-GGA calculation of a geometry-optimized KZr3Tc structure, from the Alexandria database.

Calculated values
N(E_F)   1.78 states/eV per atom
E above lowest polymorph   1634.4 meV/atom

```
KZr3Tc
1.0
-1.379 4.284 1.586
-1.246 -1.947 4.174
4.395 0.793 1.681
Zr Tc K
3 1 1
direct
0.500 0.000 0.000
0.000 0.000 0.500
0.000 0.500 0.000
0.500 0.500 0.500
0.000 0.000 0.000
```

The following is a PBE-GGA calculation of a geometry-optimized K3ZrTc structure, from the Alexandria database.

Calculated values
N(E_F)   3.39 states/eV per atom
E above lowest polymorph   51.7 meV/atom

```
K3ZrTc
1.0
5.837 0.000 0.000
0.000 5.837 0.000
0.000 0.000 5.837
Zr K Tc
1 3 1
direct
0.500 0.500 0.500
0.500 0.000 0.000
0.000 0.500 0.000
0.000 0.000 0.500
0.000 0.000 0.000
```

The following is a PBE-GGA calculation of a geometry-optimized KZrTc2 structure, from the Alexandria database.

Calculated values
N(E_F)   1.13 states/eV per atom
E above lowest polymorph   612.0 meV/atom

```
KZrTc2
1.0
6.489 -0.007 -0.030
-2.720 5.133 0.016
1.048 0.550 2.311
Tc K Zr
2 1 1
direct
0.000 0.000 0.000
0.500 0.000 0.500
0.500 0.500 0.000
0.000 0.500 0.500
```

The following is a PBE-GGA calculation of a geometry-optimized KZrTc2 structure, from the Alexandria database.

Calculated values
N(E_F)   1.56 states/eV per atom
E above lowest polymorph   273.5 meV/atom

```
KZrTc2
1.0
-3.521 -8.926 -2.979
-0.689 -9.066 -4.275
-1.084 -9.904 -1.298
Tc K Zr
2 1 1
direct
0.986 0.986 0.986
0.514 0.514 0.514
0.750 0.750 0.750
0.250 0.250 0.250
```

The following is a PBE-GGA calculation of a geometry-optimized K2ZrTc structure, from the Alexandria database.

Calculated values
N(E_F)   1.14 states/eV per atom
E above lowest polymorph   1226.6 meV/atom

```
K2ZrTc
1.0
6.777 0.000 0.000
0.000 6.777 0.000
0.000 0.000 2.742
Tc Zr K
1 1 2
direct
0.500 0.000 0.500
0.000 0.500 0.500
0.000 0.000 0.000
0.500 0.500 0.000
```

The following is a PBE-GGA calculation of a geometry-optimized KTe2 structure, from the Alexandria database.

Calculated values
N(E_F)   0.30 states/eV per atom
E above lowest polymorph   7.8 meV/atom

```
KTe2
1.0
7.153 0.002 0.000
1.495 6.995 0.000
-4.324 -3.498 4.498
K Te
2 4
direct
0.250 0.250 0.000
0.750 0.750 0.000
0.333 0.167 0.500
0.833 0.333 0.167
0.667 0.833 0.500
0.167 0.667 0.833
```

The following is a PBE-GGA calculation of a geometry-optimized KTe5 structure, from the Alexandria database.

Calculated values
N(E_F)   0.67 states/eV per atom
E above lowest polymorph   136.3 meV/atom

```
KTe5
1.0
2.162 -12.302 0.000
2.162 12.302 0.000
0.000 0.000 4.127
Te K
5 1
direct
0.429 0.571 0.500
0.126 0.874 0.500
0.786 0.214 0.500
0.336 0.664 0.000
0.651 0.349 0.000
0.005 0.995 0.000
```

The following is a PBE-GGA calculation of a geometry-optimized KTe structure, from the Alexandria database.

Calculated values
N(E_F)   2.76 states/eV per atom

```
KTe
1.0
9.837 0.000 0.000
0.000 9.837 0.000
0.000 0.000 9.837
Te K
6 6
direct
0.250 0.000 0.500
0.500 0.750 0.000
0.000 0.500 0.750
0.000 0.500 0.250
0.750 0.000 0.500
0.500 0.250 0.000
0.750 0.500 0.000
0.500 0.000 0.750
0.500 0.000 0.250
0.250 0.500 0.000
0.000 0.750 0.500
0.000 0.250 0.500
```

no.,calculated total energy (eV/cell)
1,-25.823
2,-18.256
3,-31.452
4,-17.199
5,-15.729
6,-27.679
7,-16.772
8,-49.996
9,-16.176
10,-18.961
11,-16.211
12,-34.114
13,-25.942
14,-11.322
15,-25.979
16,-27.333
17,-14.168
18,-18.081
19,-17.420
20,-28.462